Record 1
Na4InGa2 | PBE | optimized geometry

Summary:
Space-group type: P-1
Crystal system: triclinic
Uncorrected energy: -2.080 eV per atom

POSCAR file:
```
Na4InGa2
1.0
6.0382 0.0000 0.0000
2.9737 5.2982 0.0000
1.4127 1.5278 5.8887
Na In Ga
4 1 2
Cartesian
2.2201 1.6612 2.3972
4.8606 5.3260 5.8397
5.5640 1.5000 0.0490
8.2046 5.1648 3.4915
5.2123 3.4130 2.9444
3.9034 2.3823 5.0741
6.5212 4.4437 0.8146
```

---

Record 2
Na3In2Ga9 | PBE | optimized geometry

Summary:
Space-group type: Immm
Crystal system: orthorhombic
Uncorrected energy: -2.715 eV per atom

POSCAR file:
```
Na3In2Ga9
1.0
-2.2313 5.0422 6.8089
2.2313 -5.0422 6.8089
2.2313 5.0422 -6.8089
Na In Ga
3 2 9
Cartesian
0.0000 0.0000 0.0000
0.0000 0.0000 4.0668
0.0000 0.0000 9.5510
2.2313 3.1329 0.0000
0.0000 1.9093 6.8089
2.2313 -1.2628 2.1763
2.2313 -2.2751 4.6466
2.2313 1.2628 2.1763
0.0000 2.7672 2.1623
0.0000 5.0422 0.0000
2.2313 2.2751 4.6466
0.0000 3.7794 4.6326
0.0000 7.3173 2.1623
0.0000 6.3050 4.6326
```

---

Record 3
NaInGa | PBE | optimized geometry

Summary:
Space-group type: P-1
Crystal system: triclinic
Distance to the lowest polymorph of the same formula: 62 meV per atom

POSCAR file:
```
NaInGa
1.0
3.4568 0.0000 0.0000
-1.5627 5.9059 0.0000
-0.0708 -2.9235 7.2584
Na In Ga
2 2 2
Cartesian
0.0431 1.5011 0.8514
1.7802 1.4812 6.4070
0.1290 4.6412 2.0006
1.6943 -1.6588 5.2579
0.0209 0.4129 3.8330
1.8024 2.5695 3.4254
```

---

Record 4
NaInGa | PBE | optimized geometry

Summary:
Space-group type: I4mm
Crystal system: tetragonal
Distance to the lowest polymorph of the same formula: 75 meV per atom

POSCAR file:
```
NaInGa
1.0
-1.7542 1.7542 6.0107
1.7542 -1.7542 6.0107
1.7542 1.7542 -6.0107
Na In Ga
1 1 1
Cartesian
0.0000 0.0000 0.0000
0.0000 0.0000 3.7232
0.0000 0.0000 8.0389
```

---

Record 5
Na16In12Ga | PBE | optimized geometry

Summary:
Space-group type: Cm
Crystal system: monoclinic
Uncorrected energy: -2.075 eV per atom

POSCAR file:
```
Na16In12Ga
1.0
5.8675 -8.3253 0.0000
5.8675 8.3253 0.0000
-5.6484 0.0000 8.2738
Na In Ga
16 12 1
Cartesian
0.0000 0.0000 0.0000
-2.0085 0.0000 2.9558
-0.2975 5.6634 6.3350
-0.2587 2.5501 7.8225
3.2375 0.0000 0.6089
2.2918 3.2627 5.4785
0.3677 0.0000 5.7574
8.0271 4.8959 0.3400
4.3608 2.1747 3.0449
-0.2587 -2.5501 7.8225
7.6281 2.9092 2.9702
4.3608 -2.1747 3.0449
-0.2975 -5.6634 6.3350
2.2918 -3.2627 5.4785
8.0271 -4.8959 0.3400
7.6281 -2.9092 2.9702
1.2225 1.5224 2.8893
2.8263 6.7813 6.0037
4.8929 5.1771 1.3962
4.9185 5.2553 4.4404
1.2225 -1.5224 2.8893
6.4444 0.0000 1.3969
2.9510 1.5586 8.1570
4.8929 -5.1771 1.3962
6.4261 0.0000 4.5054
2.9510 -1.5586 8.1570
4.9185 -5.2553 4.4404
2.8263 -6.7813 6.0037
3.6981 0.0000 5.7027
```

---

Record 6
Na2In2Ga | PBE | optimized geometry

Summary:
Space-group type: P4/mbm
Crystal system: tetragonal
Distance to the lowest polymorph of the same formula: 166 meV per atom

POSCAR file:
```
Na2In2Ga
1.0
8.7743 0.0000 0.0000
0.0000 8.7743 0.0000
0.0000 0.0000 3.5105
Na In Ga
4 4 2
Cartesian
1.1793 3.2078 0.0000
3.2078 7.5950 0.0000
5.5665 1.1793 0.0000
7.5950 5.5665 0.0000
1.4523 5.8394 1.7552
2.9349 1.4523 1.7552
5.8394 7.3221 1.7552
7.3221 2.9349 1.7552
0.0000 0.0000 0.0000
4.3872 4.3872 0.0000
```

---

Record 7
NaIn5Ga | PBE | optimized geometry

Summary:
Space-group type: P4/mmm
Crystal system: tetragonal
Uncorrected energy: -2.596 eV per atom

POSCAR file:
```
NaIn5Ga
1.0
4.8470 0.0000 0.0000
0.0000 4.8470 0.0000
0.0000 0.0000 7.9087
Na In Ga
1 5 1
Cartesian
0.0000 0.0000 0.0000
0.0000 2.4235 2.2561
0.0000 2.4235 5.6526
2.4235 0.0000 2.2561
2.4235 0.0000 5.6526
2.4235 2.4235 0.0000
0.0000 0.0000 3.9543
```

---

Record 8
NaIn7Ga2 | PBE | optimized geometry

Summary:
Space-group type: Cmmm
Crystal system: orthorhombic
Uncorrected energy: -2.521 eV per atom

POSCAR file:
```
NaIn7Ga2
1.0
4.4738 -7.5888 0.0000
4.4738 7.5888 0.0000
0.0000 0.0000 4.3896
Na In Ga
1 7 2
Cartesian
0.0000 0.0000 0.0000
1.8327 1.8633 2.1948
4.4738 4.4597 0.0000
1.8327 -1.8633 2.1948
4.4738 0.0000 2.1948
7.1148 1.8633 2.1948
4.4738 -4.4597 0.0000
7.1148 -1.8633 2.1948
4.4738 2.8583 2.1948
4.4738 -2.8583 2.1948
```

---

Record 9
Na2In2Ga | PBE | optimized geometry

Summary:
Space-group type: I4/mmm
Crystal system: tetragonal
Distance to the lowest polymorph of the same formula: 172 meV per atom

POSCAR file:
```
Na2In2Ga
1.0
-2.0961 2.0961 7.6899
2.0961 -2.0961 7.6899
2.0961 2.0961 -7.6899
Na In Ga
2 2 1
Cartesian
2.0961 0.0000 3.8450
0.0000 2.0961 3.8450
0.0000 0.0000 1.4257
0.0000 0.0000 13.9542
0.0000 0.0000 7.6899
```

---

Record 10
Na3In2Ga | PBE | optimized geometry

Summary:
Space-group type: Cmcm
Crystal system: orthorhombic
Uncorrected energy: -2.110 eV per atom

POSCAR file:
```
Na3In2Ga
1.0
4.9656 -5.3774 0.0000
4.9656 5.3774 0.0000
0.0000 0.0000 6.5411
Na In Ga
6 4 2
Cartesian
3.2917 2.7400 1.6353
4.9656 4.2089 4.9058
6.6396 2.7400 1.6353
3.2917 -2.7400 4.9058
4.9656 -4.2089 1.6353
6.6396 -2.7400 4.9058
2.6801 0.0000 0.0000
2.6801 0.0000 3.2706
7.2511 0.0000 0.0000
7.2511 0.0000 3.2706
4.9656 0.6661 4.9058
4.9656 -0.6661 1.6353
```

---

Record 11
NaIn2Ga | PBE | optimized geometry

Summary:
Space-group type: R3m
Crystal system: trigonal
Uncorrected energy: -2.488 eV per atom

POSCAR file:
```
NaIn2Ga
1.0
2.3953 1.3830 5.4460
-2.3953 1.3830 5.4460
0.0000 -2.7659 5.4460
Na In Ga
1 2 1
Cartesian
0.0000 0.0000 0.0000
0.0000 0.0000 3.6051
0.0000 0.0000 7.0526
0.0000 0.0000 13.1902
```